ReMoW at its PBEsol-relaxed geometry. Source: Alexandria, functional meta-GGA SCAN.

a = 3.1216 Å, b = 4.4159 Å, c = 13.2276 Å
α = 90.00°, β = 90.00°, γ = 90.00°
With the nearest neighbours (Å) after each atom.
Space group Fmm2 (No. 42)
Symmetry-distinct sites (fractional):
Re: 0.0000 0.0000 0.0000  2 Mo 2.69, 2 W 2.70, 4 Re 2.70
Mo: 0.0000 0.0000 0.6658  2 Re 2.69, 4 Mo 2.70, 2 W 2.71
W: 0.0000 0.0000 0.3337  2 Re 2.70, 4 W 2.70, 2 Mo 2.71

- polymorph energy (0 for the lowest one) (eV/f.u.) = 0.07
- electronic total energy (Ry/atom) = -4.3008
- formation enthalpy at 0 K (meV per atom) = 42